Entry 1:
A plane-wave DFT calculation with PBE was carried out for an optimized crystal structure of GdScInOs.

a b c (Å): 4.9312 4.9312 4.9312
angles (deg): 60.00 60.00 60.00
Closest atoms and distances in Å follow each position.
Atoms (fractional coordinates):
In 0.7500 0.7500 0.7500  4 Gd 3.02, 4 Sc 3.02
Os 0.2500 0.2500 0.2500  4 Sc 3.02, 4 Gd 3.02
Gd 0.5000 0.5000 0.5000  4 In 3.02, 4 Os 3.02
Sc 0.0000 0.0000 0.0000  4 Os 3.02, 4 In 3.02

* volume: 84.79 Å³/f.u.
* ΔE_f: -0.237 eV/atom
* space-group type: F-43m (216)

Entry 2:
A plane-wave DFT calculation with PBE was carried out for an optimized crystal structure of CdFeSb2I.

a b c (Å): 5.5035 5.5035 5.8624
angles (deg): 90.00 90.00 90.00
Closest atoms and distances in Å follow each position.
Atoms (fractional coordinates):
Sb 0.0000 0.5000 0.0000  2 Cd 2.75
Sb 0.5000 0.0000 0.0000  2 Cd 2.75
Fe 0.5000 0.5000 0.5000  4 I 3.89, 8 Sb 4.02
Cd 0.0000 0.0000 0.0000  4 Sb 2.75, 2 I 2.93
I 0.0000 0.0000 0.5000  2 Cd 2.93

* volume: 177.56 Å³/f.u.
* space-group type: P4/mmm (123)
* formation energy (no corrections): 1176 meV/atom

Entry 3:
A plane-wave DFT calculation with PBE was carried out for an optimized crystal structure of ErLu2U.

a b c (Å): 3.2410 3.2410 12.1210
angles (deg): 82.32 82.32 60.00
Closest atoms and distances in Å follow each position.
Atoms (fractional coordinates):
Lu 0.9122 0.9122 0.2634  1 U 3.15, 6 Lu 3.24, 3 Er 3.40
Lu 0.0878 0.0878 0.7366  1 U 3.15, 6 Lu 3.24, 3 Er 3.40
Er 0.5000 0.5000 0.5000  6 Er 3.24, 6 Lu 3.40
U 0.0000 0.0000 0.0000  2 Lu 3.15, 6 U 3.24

* volume: 108.94 Å³/f.u.
* ΔE_f: 0.414 eV/atom
* space-group type: R-3m (166)

Entry 4:
A plane-wave DFT calculation with PBE was carried out for an optimized crystal structure of CdPCl2.

a b c (Å): 3.2767 3.2767 8.4700
angles (deg): 90.00 90.00 90.00
Closest atoms and distances in Å follow each position.
Atoms (fractional coordinates):
Cd 0.5000 0.5000 0.7353  4 Cl 2.80, 4 P 2.99
Cl 0.5000 0.5000 0.3308  4 P 2.78
Cl 0.0000 0.0000 0.9219  4 Cd 2.80
P 0.0000 0.0000 0.5120  4 Cl 2.78, 4 Cd 2.99

* volume: 90.94 Å³/f.u.
* space-group type: P4mm (99)
* formation energy (no corrections): 43 meV/atom

Entry 5:
A plane-wave DFT calculation with PBE was carried out for an optimized crystal structure of KSr2PuCl8.

a b c (Å): 6.7450 6.7144 9.0398
angles (deg): 90.00 90.00 90.04
Closest atoms and distances in Å follow each position.
Atoms (fractional coordinates):
Sr 0.5000 0.5000 0.2529  6 Cl 2.86-3.02
Sr 0.5000 0.5000 0.7471  6 Cl 2.86-3.02
Pu 0.0000 0.0000 0.0000  6 Cl 2.71-2.81
Cl 0.1635 0.7728 0.2162  1 Pu 2.71, 1 Sr 2.94
Cl 0.8365 0.2272 0.2162  1 Pu 2.71, 1 Sr 2.94
Cl 0.1635 0.7728 0.7838  1 Pu 2.71, 1 Sr 2.94
Cl 0.3521 0.2804 0.5000  2 Sr 2.86, 1 K 3.03
Cl 0.3190 0.2683 0.0000  1 Pu 2.81, 2 Sr 3.02
Cl 0.8365 0.2272 0.7838  1 Pu 2.71, 1 Sr 2.94
Cl 0.6810 0.7317 0.0000  1 Pu 2.81, 2 Sr 3.02
Cl 0.6479 0.7196 0.5000  2 Sr 2.86, 1 K 3.03
K 0.0000 0.0000 0.5000  6 Cl 3.03-3.18

* volume: 409.40 Å³/f.u.
* space-group type: P2/m (10)
* formation energy (no corrections): -2187 meV/atom

Entry 6:
A plane-wave DFT calculation with PBE was carried out for an optimized crystal structure of Ta2AlSe2.

a b c (Å): 4.3553 4.3553 6.3786
angles (deg): 70.04 70.04 90.00
Closest atoms and distances in Å follow each position.
Atoms (fractional coordinates):
Se 0.2500 0.7500 0.5000  4 Ta 2.62
Se 0.7500 0.2500 0.5000  4 Ta 2.62
Ta 0.3802 0.3802 0.2397  4 Se 2.62, 1 Ta 2.68
Ta 0.6198 0.6198 0.7603  4 Se 2.62, 1 Ta 2.68
Al 0.0000 0.0000 0.0000  8 Ta 3.36, 8 Se 3.54

* volume: 105.96 Å³/f.u.
* space-group type: I4/mmm (139)
* formation energy (no corrections): 234 meV/atom